A plane-wave DFT calculation with PBE-GGA was carried out for NiMo2 after structural relaxation.

Geometry as POSCAR:
```
NiMo2
1.0
0.000 3.613 3.613
3.613 0.000 3.613
3.613 3.613 0.000
Ni Mo
2 4
Direct
0.125 0.125 0.125
0.875 0.875 0.875
0.000 0.500 0.500
0.500 0.000 0.500
0.500 0.500 0.000
0.500 0.500 0.500
```

Summary:
The calculation puts the formation enthalpy at 0 K at 162 kJ/mol of formula units. The symmetry is Fd-3m, No. 227. For the energy above the most stable polymorph in this dataset, the calculation gives 11.94 kcal/mol of atoms.